Record 1
Here is a PBEsol-optimized structure of YMg2ZrZn from Alexandria. Energies are from SCAN.

Unit cell a=5.2510 b=5.2510 c=4.9514 alpha=90.00 beta=90.00 gamma=90.00
With the nearest neighbours (Å) after each atom.
Atoms (fractional coordinates):
Y 0.0000 0.0000 0.0000  2 Zn 2.48, 4 Mg 2.63
Mg 0.0000 0.5000 0.0000  2 Y 2.63
Mg 0.5000 0.0000 0.0000  2 Y 2.63
Zr 0.5000 0.5000 0.5000  8 Mg 3.61, 4 Zn 3.71
Zn 0.0000 0.0000 0.5000  2 Y 2.48

Summary:
total magnetization = 0.00 Bohr magnetons per cell
SG = P4/mmm
mass density = 3.58 g cm⁻³
density of states at the Fermi level = 0.985 states/eV per atom
energy of formation = 1.262 eV per atom
total DFT energy (no corrections) = -15.139 eV per atom

***

Record 2
Here is a PBEsol-optimized structure of CaBePt from Alexandria. Energies are from SCAN.

Unit cell a=3.8638 b=3.8638 c=4.2690 alpha=90.00 beta=90.00 gamma=120.00
With the nearest neighbours (Å) after each atom.
Atoms (fractional coordinates):
Ca 0.0000 0.0000 0.0000  6 Pt 3.09, 6 Be 3.09
Be 0.3333 0.6667 0.5000  3 Pt 2.23
Pt 0.6667 0.3333 0.5000  3 Be 2.23

Summary:
total magnetization = 0.00 Bohr magnetons per cell
SG = P-6m2
mass density = 7.35 g cm⁻³
density of states at the Fermi level = 0.379 states/eV per atom
energy of formation = -0.842 eV per atom
total DFT energy (no corrections) = -28.912 eV per atom

***

Record 3
Here is a PBEsol-optimized structure of Na6HfH8S5O24 from Alexandria. Energies are from SCAN.

Unit cell a=8.4462 b=11.2227 c=10.5138 alpha=90.00 beta=99.01 gamma=90.00
With the nearest neighbours (Å) after each atom.
Atoms (fractional coordinates):
Na 0.0339 0.0000 0.2141  5 O 2.32-2.45
Na 0.0617 0.2438 0.4972  6 O 2.28-2.41
Na 0.2130 0.0977 0.9550  6 O 2.35-2.54
Na 0.3077 0.7425 0.7327  7 O 2.41-2.65
Na 0.4107 0.0902 0.4609  4 O 2.27-2.45
Na 0.4635 0.3780 0.0136  5 O 2.27-2.50
Na 0.5365 0.8780 0.9864  5 O 2.27-2.50
Na 0.5893 0.5902 0.5391  4 O 2.27-2.45
Na 0.6923 0.2425 0.2673  7 O 2.41-2.65
Na 0.7870 0.5977 0.0450  6 O 2.35-2.54
Na 0.9383 0.7438 0.5028  6 O 2.28-2.41
Na 0.9661 0.5000 0.7859  5 O 2.32-2.45
Hf 0.2225 0.5615 0.2754  8 O 2.08-2.30
Hf 0.7775 0.0615 0.7246  8 O 2.08-2.30
H 0.0090 0.4022 0.0516  1 O 0.99
H 0.1585 0.8495 0.0044  1 O 0.99
H 0.2773 0.3060 0.7772  1 O 1.00
H 0.3531 0.9488 0.1773  1 O 0.99
H 0.4254 0.2215 0.8074  1 O 0.98
H 0.4548 0.9839 0.7084  1 O 1.03
H 0.4695 0.4059 0.3962  1 O 1.00
H 0.4963 0.5242 0.8155  1 O 0.99
H 0.5037 0.0242 0.1845  1 O 0.99
H 0.5305 0.9059 0.6038  1 O 1.00
H 0.5452 0.4839 0.2916  1 O 1.03
H 0.5746 0.7215 0.1926  1 O 0.98
H 0.6469 0.4488 0.8227  1 O 0.99
H 0.7227 0.8060 0.2228  1 O 1.00
H 0.8415 0.3495 0.9956  1 O 0.99
H 0.9910 0.9022 0.9484  1 O 0.99
S 0.1574 0.9908 0.6765  4 O 1.46-1.51
S 0.2172 0.5083 0.6023  4 O 1.47-1.51
S 0.2493 0.2657 0.2218  4 O 1.47-1.54
S 0.2564 0.6217 0.0158  4 O 1.45-1.52
S 0.3064 0.7932 0.3861  4 O 1.46-1.52
S 0.6936 0.2932 0.6139  4 O 1.46-1.52
S 0.7436 0.1217 0.9842  4 O 1.45-1.52
S 0.7507 0.7657 0.7782  4 O 1.47-1.54
S 0.7828 0.0083 0.3977  4 O 1.47-1.51
S 0.8426 0.4908 0.3235  4 O 1.46-1.51
O 0.0344 0.0525 0.7432  1 S 1.51
O 0.0853 0.9163 0.0150  2 H 0.99
O 0.1005 0.8734 0.6296  1 S 1.46
O 0.1038 0.6006 0.6303  1 S 1.47
O 0.1210 0.6396 0.0941  1 S 1.52
O 0.1406 0.1844 0.1413  1 S 1.47
O 0.1503 0.7257 0.3756  1 S 1.51
O 0.1746 0.3914 0.6515  1 S 1.48
O 0.1769 0.3913 0.1975  1 S 1.54
O 0.1976 0.0689 0.5741  1 S 1.47
O 0.2094 0.4956 0.4581  1 S 1.51
O 0.2133 0.5399 0.9088  1 S 1.45
O 0.2583 0.2394 0.3596  1 S 1.47
O 0.2810 0.9120 0.3281  1 S 1.47
O 0.3031 0.9743 0.7774  1 S 1.51, 1 H 1.57
O 0.3068 0.7384 0.9725  1 S 1.47
O 0.3367 0.2551 0.8464  2 H 0.98-1.00
O 0.3812 0.5648 0.1160  1 S 1.51
O 0.3831 0.5448 0.6557  1 S 1.48
O 0.3920 0.7979 0.5183  1 S 1.46
O 0.3964 0.7117 0.3068  1 S 1.52
O 0.4105 0.2675 0.1845  1 S 1.47
O 0.4147 0.9932 0.1204  2 H 0.99
O 0.4572 0.4831 0.3490  2 H 1.00-1.03
O 0.5428 0.9831 0.6510  2 H 1.00-1.03
O 0.5853 0.4932 0.8796  2 H 0.99
O 0.5895 0.7675 0.8155  1 S 1.47
O 0.6036 0.2117 0.6932  1 S 1.52
O 0.6080 0.2979 0.4817  1 S 1.46
O 0.6169 0.0448 0.3443  1 S 1.48
O 0.6188 0.0648 0.8840  1 S 1.51
O 0.6633 0.7551 0.1536  2 H 0.98-1.00
O 0.6932 0.2384 0.0275  1 S 1.47
O 0.6969 0.4743 0.2226  1 S 1.51, 1 H 1.57
O 0.7190 0.4120 0.6719  1 S 1.47
O 0.7417 0.7394 0.6404  1 S 1.47
O 0.7867 0.0399 0.0912  1 S 1.45
O 0.7906 0.9956 0.5419  1 S 1.51
O 0.8024 0.5689 0.4259  1 S 1.47
O 0.8231 0.8913 0.8025  1 S 1.54
O 0.8254 0.8914 0.3485  1 S 1.48
O 0.8497 0.2257 0.6244  1 S 1.51
O 0.8594 0.6844 0.8587  1 S 1.47
O 0.8790 0.1396 0.9059  1 S 1.52
O 0.8962 0.1006 0.3697  1 S 1.47
O 0.8995 0.3734 0.3704  1 S 1.46
O 0.9147 0.4163 0.9850  2 H 0.99
O 0.9656 0.5525 0.2568  1 S 1.51

Summary:
total magnetization = 0.42 Bohr magnetons per cell
SG = P2_1
mass density = 2.93 g cm⁻³
density of states at the Fermi level = 0.000 states/eV per atom
total DFT energy (no corrections) = -8.941 eV per atom

***

Record 4
Here is a PBEsol-optimized structure of K2CaBe from Alexandria. Energies are from SCAN.

Unit cell a=6.6645 b=6.6645 c=4.0993 alpha=90.00 beta=90.00 gamma=118.44
With the nearest neighbours (Å) after each atom.
Atoms (fractional coordinates):
K 0.0000 0.5000 0.0000  2 K 3.41
K 0.5000 0.0000 0.0000  2 K 3.41
Ca 0.0000 0.0000 0.5000  2 Be 3.41
Be 0.5000 0.5000 0.5000  2 Ca 3.41

Summary:
total magnetization = 0.06 Bohr magnetons per cell
SG = Cmmm
mass density = 1.32 g cm⁻³
density of states at the Fermi level = 0.790 states/eV per atom
energy of formation = 0.762 eV per atom
total DFT energy (no corrections) = -6.907 eV per atom

***

Record 5
Here is a PBEsol-optimized structure of BeTeAsN2 from Alexandria. Energies are from SCAN.

Unit cell a=3.7197 b=3.7197 c=5.0282 alpha=90.00 beta=90.00 gamma=90.00
With the nearest neighbours (Å) after each atom.
Atoms (fractional coordinates):
Be 0.0000 0.0000 0.0000  4 N 1.86
Te 0.0000 0.0000 0.5000  2 Be 2.51, 4 As 2.63
As 0.5000 0.5000 0.5000  4 Te 2.63
N 0.0000 0.5000 0.0000  2 Be 1.86
N 0.5000 0.0000 0.0000  2 Be 1.86

Summary:
total magnetization = 0.00 Bohr magnetons per cell
SG = P4/mmm
mass density = 5.72 g cm⁻³
density of states at the Fermi level = 0.603 states/eV per atom
formation energy from raw total energies = 1.45 eV/atom
total DFT energy (no corrections) = -14.624 eV per atom

***

Record 6
Here is a PBEsol-optimized structure of PrSi2Ni2 from Alexandria. Energies are from SCAN.

Unit cell a=5.5526 b=5.5526 c=5.5526 alpha=137.46 beta=137.46 gamma=61.73
With the nearest neighbours (Å) after each atom.
Atoms (fractional coordinates):
Pr 0.0000 0.0000 0.0000  8 Si 3.11, 8 Ni 3.12
Si 0.3684 0.3684 0.0000  4 Ni 2.31, 1 Si 2.51
Si 0.6316 0.6316 0.0000  4 Ni 2.31, 1 Si 2.51
Ni 0.2500 0.7500 0.5000  4 Si 2.31
Ni 0.7500 0.2500 0.5000  4 Si 2.31

Summary:
total magnetization = 0.00 Bohr magnetons per cell
SG = I4/mmm
mass density = 6.75 g cm⁻³
density of states at the Fermi level = 0.718 states/eV per atom
formation energy from raw total energies = -0.80 eV/atom
total DFT energy (no corrections) = -19.940 eV per atom

***

Which formula does entry 2 have? CaBePt